Record 1
This record from the Alexandria database describes a relaxed Ac4CeTl7 crystal. The functional is PBE-GGA.

```
12
Lattice="-1.585 5.192 -2.602 -6.721 4.966 7.039 4.489 5.762 1.798" Properties=species:S:1:pos:R:3 pbc="T T T"
Ac -1.860 12.054 4.293
Ac 0.311 7.640 1.126
Tl 0.298 11.248 1.371
Tl -0.793 2.596 -1.301
Tl -2.963 7.167 2.179
Ac -1.957 3.866 1.942
Tl -0.854 8.752 4.056
Ac -4.127 8.280 5.109
Tl 1.292 4.352 0.932
Ce 0.000 0.000 0.000
Tl -5.108 11.568 5.303
Tl -4.114 4.671 4.864
```

Output
energy of formation from the pure elements = -0.155 eV/atom

---

Record 2
This record from the Alexandria database describes a relaxed ErNbRu2 crystal. The functional is PBE-GGA.

```
4
Lattice="3.243 0.000 0.000 0.000 4.632 0.000 0.000 0.000 4.632" Properties=species:S:1:pos:R:3 pbc="T T T"
Ru 0.000 0.000 2.316
Ru 0.000 2.316 0.000
Er 1.621 2.316 2.316
Nb 1.621 0.000 0.000
```

Output
polymorph energy (0 for the lowest one) = 0.072 eV/atom
energy of formation from the pure elements = -0.327 eV/atom

---

Record 3
This record from the Alexandria database describes a relaxed TcNi6Pt crystal. The functional is PBE-GGA.

```
8
Lattice="3.623 0.000 0.000 0.000 3.623 0.000 0.000 0.000 7.273" Properties=species:S:1:pos:R:3 pbc="T T T"
Pt 0.000 0.000 0.000
Ni 1.812 1.812 0.000
Ni 1.812 0.000 1.880
Ni 1.812 1.812 3.636
Tc 0.000 0.000 3.636
Ni 1.812 0.000 5.392
Ni 0.000 1.812 1.880
Ni 0.000 1.812 5.392
```

Output
polymorph energy (0 for the lowest one) = 0.005 eV/atom
energy of formation from the pure elements = -0.010 eV/atom

---

Record 4
This record from the Alexandria database describes a relaxed YTh2AuC crystal. The functional is PBE-GGA.

```
5
Lattice="5.032 0.000 0.000 0.000 5.032 0.000 0.000 0.000 4.863" Properties=species:S:1:pos:R:3 pbc="T T T"
Th 2.516 5.032 4.861
Au 2.516 2.516 2.439
C 0.000 0.000 4.862
Y 0.000 5.032 2.430
Th 0.000 2.516 4.861
```

Output
energy of formation from the pure elements = -0.325 eV/atom

---

no.,final energy (eV/atom)
1,-3.399
2,-8.623
3,-6.397
4,-7.086